HoInRhAu after structural relaxation. Source: Alexandria via LeMat-Bulk, functional PBE-GGA.

- ΔH_f (0 K): -0.631 eV/atom
- Mass density: 12.18 g/cm3

Cell lengths 6.813, 6.813, 6.813 Å; angles 90.00, 90.00, 90.00 degrees
Space group F-43m (No. 216)
Inequivalent atoms, fractional coordinates:
Ho (0.000, 0.000, 0.000) [4 per cell]
In (0.000, 0.000, 0.500) [4 per cell]
Rh (0.250, 0.250, 0.750) [4 per cell]
Au (0.250, 0.250, 0.250) [4 per cell]